The following is a PBE with a Hubbard U calculation of crystalline UMnPbO5 at its relaxed geometry, from Alexandria.

The space group is C2/c (No. 15) and the conventional cell measures 7.381, 9.960 and 8.219 Å, with angles of 90.00, 116.47 and 90.00 degrees. The distinct sites, in fractional coordinates, are U at (0.250, 0.250, 0.000), Mn at (0.000, 0.059, 0.250), Pb at (0.000, 0.438, 0.250), O at (0.000, 0.322, 0.750), O at (0.051, 0.195, 0.089) and O at (0.245, 0.448, 0.096).

The calculation puts the total energy at -262.0 eV for the cell shown.